Entry 1:
Density functional theory data (GGA-PBE) for an optimized crystal structure of Hg2SbPt.

Unit cell a=4.5664 b=4.5664 c=8.2955 alpha=90.00 beta=90.00 gamma=90.00
Last column: nearest neighbours and their distance in Å.
Space group I-4m2 (No. 119)
Unique sites:
Hg  0.0000  0.0000  0.0000 x2  4 Hg 3.08, 4 Pt 3.08, 4 Sb 3.23
Hg  0.0000  0.5000  0.2500 x2  4 Hg 3.08, 4 Sb 3.08, 4 Pt 3.23
Sb  0.0000  0.0000  0.5000 x2  8 Hg 3.08-3.23, 4 Pt 3.08
Pt  0.0000  0.5000  0.7500 x2  8 Hg 3.08-3.23, 4 Sb 3.08

Properties
- size of the total moment (μB/f.u.) = 0.00
- DOS(E_F) (states/eV per cell) = 3.99
- uncorrected formation energy (kJ per mole of atoms) = 18.96

Entry 2:
Density functional theory data (GGA-PBE) for an optimized crystal structure of Cr2PdI.

Unit cell a=7.4922 b=7.4922 c=5.8753 alpha=90.00 beta=90.00 gamma=90.00
Last column: nearest neighbours and their distance in Å.
Space group I-42d (No. 122)
Unique sites:
Cr  0.2326  0.2500  0.1250 x8  2 Pd 2.66, 2 I 2.84, 2 Cr 2.95
Pd  0.0000  0.0000  0.0000 x4  4 Cr 2.66, 2 I 2.94
I  0.0000  0.0000  0.5000 x4  4 Cr 2.84, 2 Pd 2.94

Properties
- size of the total moment (μB/f.u.) = 8.56
- relative energy among the computed polymorphs (kJ/mol of formula units) = 0
- DOS(E_F) (states/eV per cell) = 18.69
- uncorrected formation energy (kJ per mole of atoms) = 73.70

Entry 3:
Density functional theory data (GGA-PBE) for an optimized crystal structure of LiCaMgTl.

Unit cell a=7.2904 b=7.2904 c=7.2904 alpha=90.00 beta=90.00 gamma=90.00
Last column: nearest neighbours and their distance in Å.
Space group F-43m (No. 216)
Unique sites:
Li  0.0000  0.0000  0.0000 x4  4 Ca 3.16, 4 Mg 3.16
Ca  0.2500  0.2500  0.7500 x4  4 Tl 3.16, 4 Li 3.16
Mg  0.2500  0.2500  0.2500 x4  4 Tl 3.16, 4 Li 3.16
Tl  0.0000  0.0000  0.5000 x4  4 Mg 3.16, 4 Ca 3.16

Properties
- energy of formation from the pure elements (meV/atom) = -245
- size of the total moment (μB/f.u.) = 0.00
- DOS(E_F) (states/eV per cell) = 7.51

Entry 4:
Density functional theory data (GGA-PBE) for an optimized crystal structure of KBa4U3S12.

Unit cell a=10.5718 b=10.5718 c=10.5718 alpha=90.00 beta=90.00 gamma=90.00
Last column: nearest neighbours and their distance in Å.
Space group Im-3m (No. 229)
Unique sites:
K  0.0000  0.0000  0.0000 x2  6 S 2.81
Ba  0.2500  0.2500  0.2500 x8  12 S 3.74
U  0.0000  0.0000  0.5000 x6  6 S 2.47-2.64
S  0.0000  0.0000  0.2660 x12  1 U 2.47
S  0.0000  0.2500  0.5000 x12  2 U 2.64

Properties
- size of the total moment (μB/f.u.) = 3.00
- DOS(E_F) (states/eV per cell) = 16.87
- uncorrected formation energy (kJ per mole of atoms) = -151.28

Entry 5:
Density functional theory data (GGA-PBE) for an optimized crystal structure of SrGeBi.

Unit cell a=9.4400 b=7.5615 c=5.3368 alpha=90.00 beta=90.00 gamma=90.00
Last column: nearest neighbours and their distance in Å.
Space group Ima2 (No. 46)
Unique sites:
Sr  0.0000  0.0000  0.0000 x4  4 Ge 3.30-3.31, 4 Bi 3.67
Ge  0.2500  0.2502  0.2491 x4  2 Ge 2.67
Bi  0.2500  0.6158  0.9998 x4  2 Ge 3.07, 2 Bi 3.35

Properties
- energy of formation from the pure elements (meV/atom) = -420
- size of the total moment (μB/f.u.) = 0.00
- relative energy among the computed polymorphs (kJ/mol of formula units) = 13
- DOS(E_F) (states/eV per cell) = 7.81

Entry 6:
Density functional theory data (GGA-PBE) for an optimized crystal structure of CdGa2Ir.

Unit cell a=4.3547 b=4.3547 c=18.2075 alpha=90.00 beta=90.00 gamma=120.00
Last column: nearest neighbours and their distance in Å.
Space group R-3m (No. 166, hexagonal axes)
Unique sites:
Cd  0.0000  0.0000  0.0000 x3  2 Ga 2.67
Ga  0.0000  0.0000  0.1467 x6  3 Ir 2.54, 3 Ga 2.62, 1 Cd 2.67
Ir  0.0000  0.0000  0.5000 x3  6 Ga 2.54

Properties
- energy of formation from the pure elements (meV/atom) = 173
- size of the total moment (μB/f.u.) = 0.00
- DOS(E_F) (states/eV per cell) = 6.34

Entry 7:
Density functional theory data (GGA-PBE) for an optimized crystal structure of AcGdEr.

Unit cell a=3.7494 b=3.7494 c=15.2519 alpha=90.00 beta=90.00 gamma=90.00
Last column: nearest neighbours and their distance in Å.
Space group I4mm (No. 107)
Unique sites:
Ac  0.0000  0.0000  0.0000 x2  4 Er 3.71, 4 Ac 3.75, 4 Gd 3.77
Gd  0.0000  0.0000  0.3243 x2  4 Er 3.54, 4 Gd 3.75, 4 Ac 3.77
Er  0.0000  0.0000  0.6701 x2  4 Gd 3.54, 4 Ac 3.71, 4 Er 3.75

Properties
- energy of formation from the pure elements (meV/atom) = 59
- size of the total moment (μB/f.u.) = 7.38
- relative energy among the computed polymorphs (kJ/mol of formula units) = 0
- DOS(E_F) (states/eV per cell) = 9.53

Entry 8:
Density functional theory data (GGA-PBE) for an optimized crystal structure of Pu2Zn12Pd5.

Unit cell a=9.1653 b=9.1653 c=13.0810 alpha=90.00 beta=90.00 gamma=120.00
Last column: nearest neighbours and their distance in Å.
Space group R-3m (No. 166, hexagonal axes)
Unique sites:
Pu  0.0000  0.0000  0.1617 x6  1 Pd 3.05, 12 Zn 3.26-3.34
Zn  0.0000  0.2899  0.5000 x18  2 Pd 2.58, 6 Zn 2.66-2.76
Zn  0.9998  0.4999  0.3495 x18  3 Pd 2.65-2.83, 6 Zn 2.68-2.76
Pd  0.0000  0.0000  0.3946 x6  4 Pd 2.76, 9 Zn 2.83-2.99, 1 Pu 3.05
Pd  0.0000  0.5000  0.0000 x9  8 Zn 2.58-2.65, 2 Pd 2.76

Properties
- energy of formation from the pure elements (meV/atom) = -318
- size of the total moment (μB/f.u.) = 11.68
- DOS(E_F) (states/eV per cell) = 96.17

Entry 9:
Density functional theory data (GGA-PBE) for an optimized crystal structure of NaMo3Pt.

Unit cell a=4.8859 b=4.8859 c=4.8859 alpha=90.00 beta=90.00 gamma=90.00
Last column: nearest neighbours and their distance in Å.
Space group Pm-3m (No. 221)
Unique sites:
Na  0.0000  0.0000  0.0000 x1  12 Mo 3.45
Mo  0.0000  0.5000  0.5000 x3  2 Pt 2.44
Pt  0.5000  0.5000  0.5000 x1  6 Mo 2.44

Properties
- energy of formation from the pure elements (meV/atom) = 1724
- size of the total moment (μB/f.u.) = 2.42
- relative energy among the computed polymorphs (kJ/mol of formula units) = 0
- DOS(E_F) (states/eV per cell) = 6.36

Entry 10:
Density functional theory data (GGA-PBE) for an optimized crystal structure of Dy2YF.

Unit cell a=3.6935 b=3.6935 c=25.3081 alpha=90.00 beta=90.00 gamma=120.00
Last column: nearest neighbours and their distance in Å.
Space group R-3m (No. 166, hexagonal axes)
Unique sites:
Dy  0.0000  0.0000  0.2225 x6  3 F 2.56
Y  0.0000  0.0000  0.0000 x3  6 Dy 3.52, 6 Y 3.69
F  0.0000  0.0000  0.5000 x3  6 Dy 2.56

Properties
- size of the total moment (μB/f.u.) = 0.00
- DOS(E_F) (states/eV per cell) = 9.32
- uncorrected formation energy (kJ per mole of atoms) = -110.30

Entry 11:
Density functional theory data (GGA-PBE) for an optimized crystal structure of CaCd2H2.

Unit cell a=6.0447 b=6.0447 c=4.7165 alpha=90.00 beta=90.00 gamma=90.00
Last column: nearest neighbours and their distance in Å.
Space group P4/mbm (No. 127)
Unique sites:
Ca  0.0000  0.0000  0.0000 x2  4 H 2.22
Cd  0.1719  0.3281  0.5000 x4  2 H 2.36
H  0.1786  0.3214  0.0000 x4  2 Ca 2.22, 2 Cd 2.36

Properties
- size of the total moment (μB/f.u.) = 0.00
- relative energy among the computed polymorphs (kJ/mol of formula units) = 0
- DOS(E_F) (states/eV per cell) = 1.49

Entry 12:
Density functional theory data (GGA-PBE) for an optimized crystal structure of Tb3AgAu2.

Unit cell a=3.6128 b=3.6128 c=10.9452 alpha=90.00 beta=90.00 gamma=90.00
Last column: nearest neighbours and their distance in Å.
Space group P4/mmm (No. 123)
Unique sites:
Tb  0.0000  0.0000  0.0000 x1  8 Au 3.15
Tb  0.0000  0.0000  0.3288 x2  4 Au 3.10, 4 Ag 3.17
Ag  0.5000  0.5000  0.5000 x1  8 Tb 3.17
Au  0.5000  0.5000  0.1680 x2  8 Tb 3.10-3.15

Properties
- energy of formation from the pure elements (meV/atom) = -679
- size of the total moment (μB/f.u.) = 0.00
- DOS(E_F) (states/eV per cell) = 2.82

Entry 13:
Density functional theory data (GGA-PBE) for an optimized crystal structure of Mg2Co2Os.

Unit cell a=6.0112 b=6.0112 c=4.1773 alpha=90.00 beta=90.00 gamma=90.00
Last column: nearest neighbours and their distance in Å.
Space group P4/mbm (No. 127)
Unique sites:
Mg  0.1802  0.3198  0.0000 x4  6 Co 2.65-2.81
Co  0.1284  0.6284  0.5000 x4  1 Co 2.18, 2 Os 2.36
Os  0.0000  0.0000  0.5000 x2  4 Co 2.36

Properties
- energy of formation from the pure elements (meV/atom) = 172
- size of the total moment (μB/f.u.) = 1.48
- DOS(E_F) (states/eV per cell) = 7.79

Entry 14:
Density functional theory data (GGA-PBE) for an optimized crystal structure of LiCe2Ga4Cu3.

Unit cell a=4.2479 b=4.2479 c=10.0503 alpha=90.00 beta=90.00 gamma=90.00
Last column: nearest neighbours and their distance in Å.
Space group P-4m2 (No. 115)
Unique sites:
Li  0.0000  0.0000  0.0000 x1  4 Ga 2.51
Ce  0.0000  0.5000  0.7488 x2  8 Ga 3.23-3.28, 6 Cu 3.24-3.30, 2 Li 3.30
Ga  0.0000  0.0000  0.5000 x1  4 Cu 2.49
Ga  0.0000  0.5000  0.1327 x2  3 Cu 2.39-2.51, 2 Li 2.51
Ga  0.5000  0.5000  0.5000 x1  4 Cu 2.49
Cu  0.0000  0.5000  0.3708 x2  5 Ga 2.39-2.49
Cu  0.5000  0.5000  0.0000 x1  4 Ga 2.51

Properties
- energy of formation from the pure elements (meV/atom) = -369
- size of the total moment (μB/f.u.) = 1.46
- DOS(E_F) (states/eV per cell) = 12.63

Entry 15:
Density functional theory data (GGA-PBE) for an optimized crystal structure of PmGePt6.

Unit cell a=5.4331 b=5.4331 c=19.8702 alpha=90.00 beta=90.00 gamma=120.00
Last column: nearest neighbours and their distance in Å.
Space group R-3m (No. 166, hexagonal axes)
Unique sites:
Pm  0.0000  0.0000  0.0000 x3  12 Pt 3.07
Ge  0.0000  0.0000  0.5000 x3  6 Pt 2.47
Pt  0.0076  0.5038  0.9277 x18  1 Ge 2.47, 2 Pt 2.65

Properties
- energy of formation from the pure elements (meV/atom) = -411
- size of the total moment (μB/f.u.) = 0.00
- DOS(E_F) (states/eV per cell) = 8.62

Entry 16:
Density functional theory data (GGA-PBE) for an optimized crystal structure of BaAl3Ge3.

Unit cell a=7.1195 b=7.1195 c=7.1195 alpha=90.00 beta=90.00 gamma=90.00
Last column: nearest neighbours and their distance in Å.
Space group Pm-3n (No. 223)
Unique sites:
Ba  0.0000  0.0000  0.0000 x2  12 Ge 3.98, 12 Al 3.98
Al  0.0000  0.2500  0.5000 x6  4 Ge 2.52
Ge  0.0000  0.5000  0.2500 x6  4 Al 2.52

Properties
- energy of formation from the pure elements (meV/atom) = -207
- size of the total moment (μB/f.u.) = 0.00
- relative energy among the computed polymorphs (kJ/mol of formula units) = 0
- DOS(E_F) (states/eV per cell) = 5.30

Entry 17:
Density functional theory data (GGA-PBE) for an optimized crystal structure of Mn2CoPt.

Unit cell a=3.5473 b=3.5473 c=16.6160 alpha=90.00 beta=90.00 gamma=90.00
Last column: nearest neighbours and their distance in Å.
Space group I-42d (No. 122)
Unique sites:
Mn  0.1873  0.2500  0.1250 x8  2 Mn 2.22, 2 Co 2.35
Co  0.0000  0.0000  0.0000 x4  4 Mn 2.35, 4 Pt 2.51
Pt  0.0000  0.0000  0.5000 x4  4 Co 2.51, 4 Mn 2.52

Properties
- energy of formation from the pure elements (meV/atom) = 441
- size of the total moment (μB/f.u.) = 0.00
- DOS(E_F) (states/eV per cell) = 33.60

Entry 18:
Density functional theory data (GGA-PBE) for an optimized crystal structure of ErTh2Ag2Sn2.

Unit cell a=4.8375 b=4.8375 c=27.5902 alpha=90.00 beta=90.00 gamma=120.00
Last column: nearest neighbours and their distance in Å.
Space group R-3m (No. 166, hexagonal axes)
Unique sites:
Er  0.0000  0.0000  0.0000 x3  6 Ag 3.25, 6 Sn 3.34, 2 Th 3.53
Th  0.0000  0.0000  0.1279 x6  3 Sn 3.27, 3 Ag 3.36, 3 Th 3.52, 1 Er 3.53
Ag  0.0000  0.0000  0.3935 x6  3 Sn 2.80
Sn  0.0000  0.0000  0.2668 x6  3 Ag 2.80

Properties
- energy of formation from the pure elements (meV/atom) = -180
- size of the total moment (μB/f.u.) = 0.08
- DOS(E_F) (states/eV per cell) = 22.51

Entry 19:
Density functional theory data (GGA-PBE) for an optimized crystal structure of Rb2ScCl5.

Unit cell a=9.3701 b=7.2000 c=14.6796 alpha=90.00 beta=90.00 gamma=90.00
Last column: nearest neighbours and their distance in Å.
Space group Pnma (No. 62)
Unique sites:
Rb  0.0334  0.2500  0.2070 x4  10 Cl 3.35-3.70
Rb  0.1710  0.7500  0.4148 x4  9 Cl 3.39-3.78
Sc  0.1816  0.7500  0.0617 x4  6 Cl 2.42-2.64
Cl  0.0000  0.0000  0.0000 x4  2 Sc 2.64
Cl  0.0355  0.7500  0.2007 x4  1 Sc 2.46
Cl  0.1634  0.0012  0.6125 x8  1 Sc 2.42
Cl  0.2190  0.2500  0.4024 x4  1 Sc 2.52

Properties
- size of the total moment (μB/f.u.) = 0.00
- relative energy among the computed polymorphs (kJ/mol of formula units) = 0
- DOS(E_F) (states/eV per cell) = 0.00
- uncorrected formation energy (kJ per mole of atoms) = -201.06

Entry 20:
Density functional theory data (GGA-PBE) for an optimized crystal structure of La2HoRh.

Unit cell a=7.3250 b=10.1720 c=6.3766 alpha=90.00 beta=90.00 gamma=90.00
Last column: nearest neighbours and their distance in Å.
Space group Pnma (No. 62)
Unique sites:
La  0.1727  0.0666  0.1715 x8  2 Rh 2.92-2.96
Ho  0.0379  0.2500  0.6584 x4  2 Rh 2.83-2.84
Rh  0.1264  0.7500  0.9373 x4  2 Ho 2.83-2.84, 4 La 2.92-2.96

Properties
- energy of formation from the pure elements (meV/atom) = -462
- size of the total moment (μB/f.u.) = 0.00
- relative energy among the computed polymorphs (kJ/mol of formula units) = 0
- DOS(E_F) (states/eV per cell) = 18.64

Number 1: total DFT energy (no corrections) -20.0 eV for the cell shown. Number 2: total DFT energy (no corrections) -91.7 eV for the cell shown. Number 3: total DFT energy (no corrections) -35.4 eV for the cell shown. Number 4: total DFT energy (no corrections) -247.1 eV for the cell shown. Number 5: total DFT energy (no corrections) -45.8 eV for the cell shown. Number 6: total DFT energy (no corrections) -45.4 eV for the cell shown. Number 7: total DFT energy (no corrections) -45.2 eV for the cell shown. Number 8: total DFT energy (no corrections) -227.9 eV for the cell shown. Number 9: total DFT energy (no corrections) -31.2 eV for the cell shown. Number 10: total DFT energy (no corrections) -66.3 eV for the cell shown. Number 11: total DFT energy (no corrections) -22.5 eV for the cell shown. Number 12: total DFT energy (no corrections) -27.4 eV for the cell shown. Number 13: total DFT energy (no corrections) -55.5 eV for the cell shown. Number 14: total DFT energy (no corrections) -41.9 eV for the cell shown. Number 15: total DFT energy (no corrections) -146.7 eV for the cell shown. Number 16: total DFT energy (no corrections) -56.9 eV for the cell shown. Number 17: total DFT energy (no corrections) -118.9 eV for the cell shown. Number 18: total DFT energy (no corrections) -103.1 eV for the cell shown. Number 19: total DFT energy (no corrections) -136.7 eV for the cell shown. Number 20: total DFT energy (no corrections) -94.5 eV for the cell shown.